## Pm4Sm2ErTm (PBE)

Data for crystalline Pm4Sm2ErTm at its relaxed geometry.

## Properties
ΔH_f (0 K): 0.4000 eV/atom
VASP energy: -0.315 Ry/atom

a = 9.548 Å, b = 9.548 Å, c = 11.893 Å
α = 128.46°, β = 128.46°, γ = 88.17°
Fractional coordinates of all 16 atoms:
Pm 0.744 0.254 0.497
Pm 0.726 0.722 0.972
Pm 0.256 0.746 0.503
Pm 0.222 0.226 0.472
Pm 0.778 0.774 0.528
Pm 0.754 0.244 0.997
Pm 0.246 0.756 0.003
Pm 0.274 0.278 0.028
Er 0.000 0.500 0.500
Er 0.000 0.500 0.000
Sm 0.000 0.000 0.500
Sm 0.500 0.500 0.000
Sm 0.500 0.000 0.000
Sm 0.500 0.000 0.500
Tm 0.500 0.500 0.500
Tm 0.000 0.000 0.000

## Pm2Sm6ErTm (PBE)

Data for crystalline Pm2Sm6ErTm at its relaxed geometry.

## Properties
ΔH_f (0 K): 0.1163 eV/atom
VASP energy: -0.336 Ry/atom

a = 9.730 Å, b = 8.891 Å, c = 8.891 Å
α = 118.14°, β = 94.29°, γ = 94.29°
Fractional coordinates of all 20 atoms:
Pm 0.543 0.197 0.299
Pm 0.457 0.803 0.701
Pm 0.957 0.701 0.803
Pm 0.043 0.299 0.197
Sm 0.944 0.875 0.246
Sm 0.311 0.983 0.426
Sm 0.880 0.291 0.501
Sm 0.056 0.125 0.754
Sm 0.620 0.499 0.709
Sm 0.689 0.017 0.574
Sm 0.811 0.426 0.983
Sm 0.556 0.754 0.125
Sm 0.120 0.709 0.499
Sm 0.380 0.501 0.291
Sm 0.444 0.246 0.875
Sm 0.189 0.574 0.017
Tm 0.750 0.592 0.408
Tm 0.250 0.408 0.592
Er 0.250 0.979 0.021
Er 0.750 0.021 0.979

## Pm2Sm6ErTm3 (PBE)

Data for crystalline Pm2Sm6ErTm3 at its relaxed geometry.

## Properties
ΔH_f (0 K): 0.0173 eV/atom
VASP energy: -0.340 Ry/atom

a = 6.218 Å, b = 6.218 Å, c = 11.840 Å
α = 95.01°, β = 95.01°, γ = 119.99°
Fractional coordinates of all 12 atoms:
Tm 0.166 0.834 0.500
Tm 0.834 0.166 0.500
Tm 0.500 0.500 0.500
Sm 0.752 0.752 0.254
Sm 0.417 0.085 0.253
Sm 0.915 0.583 0.747
Sm 0.248 0.248 0.746
Sm 0.085 0.417 0.253
Sm 0.583 0.915 0.747
Er 0.000 0.000 0.000
Pm 0.333 0.667 0.000
Pm 0.667 0.333 0.000

## Pm2Sm2Er4Tm (PBE)

Data for crystalline Pm2Sm2Er4Tm at its relaxed geometry.

## Properties
ΔH_f (0 K): 0.0031 eV/atom
VASP energy: -0.340 Ry/atom

a = 3.594 Å, b = 9.500 Å, c = 9.562 Å
α = 115.27°, β = 90.00°, γ = 100.90°
Fractional coordinates of all 9 atoms:
Pm 0.335 0.670 0.999
Pm 0.665 0.330 0.001
Er 0.815 0.631 0.664
Er 0.185 0.369 0.336
Er 0.519 0.039 0.332
Er 0.481 0.961 0.668
Tm 0.000 0.000 0.000
Sm 0.853 0.706 0.337
Sm 0.147 0.294 0.663

## PmSm2Er6Tm3 (PBE)

Data for crystalline PmSm2Er6Tm3 at its relaxed geometry.

## Properties
ΔH_f (0 K): 0.0228 eV/atom
VASP energy: -0.335 Ry/atom

a = 6.121 Å, b = 6.121 Å, c = 11.689 Å
α = 95.00°, β = 95.00°, γ = 119.94°
Fractional coordinates of all 12 atoms:
Er 0.248 0.248 0.746
Er 0.419 0.086 0.254
Er 0.752 0.752 0.254
Er 0.086 0.419 0.254
Er 0.581 0.914 0.746
Er 0.914 0.581 0.746
Pm 0.000 0.000 0.000
Sm 0.667 0.333 0.000
Sm 0.333 0.667 0.000
Tm 0.833 0.167 0.500
Tm 0.167 0.833 0.500
Tm 0.500 0.500 0.500

## Pm2Sm4Er2Tm (PBE)

Data for crystalline Pm2Sm4Er2Tm at its relaxed geometry.

## Properties
ΔH_f (0 K): 0.0214 eV/atom
VASP energy: -0.341 Ry/atom

a = 5.081 Å, b = 8.042 Å, c = 8.011 Å
α = 107.55°, β = 90.00°, γ = 108.42°
Fractional coordinates of all 9 atoms:
Er 0.666 0.333 0.000
Er 0.334 0.667 0.000
Pm 0.888 0.777 0.331
Pm 0.112 0.223 0.669
Sm 0.445 0.889 0.669
Sm 0.555 0.111 0.331
Sm 0.222 0.443 0.331
Sm 0.778 0.557 0.669
Tm 0.000 0.000 0.000

## Pm4Sm2ErTm2 (PBE)

Data for crystalline Pm4Sm2ErTm2 at its relaxed geometry.

## Properties
ΔH_f (0 K): 0.0223 eV/atom
VASP energy: -0.341 Ry/atom

a = 5.089 Å, b = 8.053 Å, c = 8.011 Å
α = 107.58°, β = 90.00°, γ = 108.42°
Fractional coordinates of all 9 atoms:
Sm 0.112 0.223 0.670
Sm 0.888 0.777 0.330
Pm 0.555 0.110 0.330
Pm 0.222 0.444 0.330
Pm 0.445 0.890 0.670
Pm 0.778 0.556 0.670
Tm 0.333 0.666 0.000
Tm 0.667 0.334 0.000
Er 0.000 0.000 0.000

## Pm3Sm6ErTm2 (PBE)

Data for crystalline Pm3Sm6ErTm2 at its relaxed geometry.

## Properties
ΔH_f (0 K): 0.0177 eV/atom
VASP energy: -0.342 Ry/atom

a = 6.242 Å, b = 6.242 Å, c = 11.899 Å
α = 95.01°, β = 95.01°, γ = 120.00°
Fractional coordinates of all 12 atoms:
Sm 0.082 0.416 0.246
Sm 0.416 0.082 0.246
Sm 0.749 0.749 0.246
Sm 0.251 0.251 0.754
Sm 0.918 0.584 0.754
Sm 0.584 0.918 0.754
Pm 0.167 0.833 0.500
Pm 0.833 0.167 0.500
Pm 0.500 0.500 0.500
Tm 0.667 0.333 0.000
Tm 0.333 0.667 0.000
Er 0.000 0.000 0.000